Record 1
Compound: TcTeNO2
Source: the Alexandria database
Functional: PBE
Structure: optimized geometry

Summary:
The value obtained for the formation energy from raw total energies is 62.6 kJ/mol of atoms. Its total moment is 5.01 μB per cell.

CIF file:
```
data_TcTeNO2
_chemical_formula_sum 'Tc1 Te1 N1 O2'
_cell_length_a 4.074
_cell_length_b 4.074
_cell_length_c 4.177
_cell_angle_alpha 90.00
_cell_angle_beta 90.00
_cell_angle_gamma 90.00
_symmetry_space_group_name_H-M 'P 1'
_symmetry_Int_Tables_number 1
loop_
_symmetry_equiv_pos_as_xyz
'x,y,z'
loop_
_atom_site_label
_atom_site_fract_x
_atom_site_fract_y
_atom_site_fract_z
Tc1 0.500 0.500 0.500
O1 0.000 0.500 0.000
O2 0.500 0.000 0.000
Te1 0.000 0.000 0.000
N1 0.000 0.000 0.500
```

***

Record 2
Compound: TiTcN2O
Source: the Alexandria database
Functional: PBE
Structure: optimized geometry

Summary:
The value obtained for the formation energy from raw total energies is 9.1 kJ/mol of atoms. Its total moment is 2.99 μB per cell.

CIF file:
```
data_TiTcN2O
_chemical_formula_sum 'Ti1 Tc1 N2 O1'
_cell_length_a 3.991
_cell_length_b 3.991
_cell_length_c 3.707
_cell_angle_alpha 90.00
_cell_angle_beta 90.00
_cell_angle_gamma 90.00
_symmetry_space_group_name_H-M 'P 1'
_symmetry_Int_Tables_number 1
loop_
_symmetry_equiv_pos_as_xyz
'x,y,z'
loop_
_atom_site_label
_atom_site_fract_x
_atom_site_fract_y
_atom_site_fract_z
O1 0.000 0.000 0.500
Ti1 0.000 0.000 0.000
Tc1 0.500 0.500 0.500
N1 0.500 0.000 0.000
N2 0.000 0.500 0.000
```

***

Among the records above, which one has the highest formation energy from raw total energies?
TcTeNO2

***

What did the second record say?
Compound: TiTcN2O
Source: the Alexandria database
Functional: PBE
Structure: optimized geometry

Summary:
The value obtained for the formation energy from raw total energies is 9.1 kJ/mol of atoms. Its total moment is 2.99 μB per cell.

CIF file:
```
data_TiTcN2O
_chemical_formula_sum 'Ti1 Tc1 N2 O1'
_cell_length_a 3.991
_cell_length_b 3.991
_cell_length_c 3.707
_cell_angle_alpha 90.00
_cell_angle_beta 90.00
_cell_angle_gamma 90.00
_symmetry_space_group_name_H-M 'P 1'
_symmetry_Int_Tables_number 1
loop_
_symmetry_equiv_pos_as_xyz
'x,y,z'
loop_
_atom_site_label
_atom_site_fract_x
_atom_site_fract_y
_atom_site_fract_z
O1 0.000 0.000 0.500
Ti1 0.000 0.000 0.000
Tc1 0.500 0.500 0.500
N1 0.500 0.000 0.000
N2 0.000 0.500 0.000
```

***

Look up the total moment of the first one.
5.01 μB per cell